# 1
! PrZnTe3Pb PBE-GGA relaxed; values from VASP
! Calculated density = 6947 kg/m3
! Total DFT energy (no corrections) = -23.3 eV per formula unit
&SYSTEM
  ibrav = 0, nat = 12, ntyp = 4
/
ATOMIC_SPECIES
Pb 207.20 Pb.upf
Te 127.60 Te.upf
Zn 65.41 Zn.upf
Pr 140.91 Pr.upf
CELL_PARAMETERS angstrom
2.219 -7.382 0.000
2.219 7.382 0.000
0.000 0.000 11.618
ATOMIC_POSITIONS angstrom
Pb 2.219 4.206 8.714
Pb 2.219 -4.206 2.905
Te 2.219 2.175 5.059
Te 2.219 -6.038 8.714
Te 2.219 -2.175 6.559
Te 2.219 6.038 2.905
Te 2.219 2.175 0.750
Te 2.219 -2.175 10.868
Zn 2.219 -0.383 8.714
Zn 2.219 0.383 2.905
Pr 0.000 0.000 5.809
Pr 0.000 0.000 0.000

# 2
! Ba5Dy8Zn4O21 PBE-GGA relaxed; values from VASP
! Calculated density = 7937 kg/m3
! Total DFT energy (no corrections) = -264.3 eV per formula unit
&SYSTEM
  ibrav = 0, nat = 38, ntyp = 4
/
ATOMIC_SPECIES
Dy 162.50 Dy.upf
O 16.00 O.upf
Ba 137.33 Ba.upf
Zn 65.41 Zn.upf
CELL_PARAMETERS angstrom
-6.764 -7.538 -0.533
5.023 6.560 5.882
-6.283 6.988 -3.814
ATOMIC_POSITIONS angstrom
Dy -5.827 4.605 -1.054
Dy -5.393 7.768 -0.335
Dy -3.139 10.105 0.826
Dy -4.884 -4.095 0.708
Dy -2.197 1.406 2.589
Dy -4.585 3.871 2.262
Dy -3.438 2.140 -0.728
Dy -2.631 -1.758 1.869
O -3.684 -0.177 3.341
O -1.281 8.476 1.133
O -10.286 1.354 -1.594
O -6.742 -2.466 0.401
O -3.112 5.705 3.077
O -0.028 2.188 1.913
O -7.996 3.822 -0.378
O -0.870 -0.489 2.674
O 0.565 9.881 3.498
O -3.621 -2.387 -0.109
O -2.813 0.313 0.663
O -4.912 0.305 -1.543
O -0.899 1.699 4.590
O -5.338 2.826 0.320
O -4.402 8.397 1.643
O -4.339 6.187 -1.806
O -2.685 3.184 1.215
O -7.124 4.312 -3.056
O -5.211 5.697 0.871
O 2.263 4.656 3.128
O -8.588 -3.870 -1.963
Ba 0.000 0.000 0.000
Ba -5.631 -0.195 1.178
Ba -2.392 6.205 0.356
Ba -0.851 4.427 3.580
Ba -7.172 1.583 -2.045
Zn -0.839 3.375 0.344
Zn -9.826 0.132 -3.174
Zn 1.802 5.879 4.709
Zn -7.185 2.635 1.190

Q: What is the calculated density in the second record?
A: 7937 kg/m3

Please write out number 1 again, unchanged.
! PrZnTe3Pb PBE-GGA relaxed; values from VASP
! Calculated density = 6947 kg/m3
! Total DFT energy (no corrections) = -23.3 eV per formula unit
&SYSTEM
  ibrav = 0, nat = 12, ntyp = 4
/
ATOMIC_SPECIES
Pb 207.20 Pb.upf
Te 127.60 Te.upf
Zn 65.41 Zn.upf
Pr 140.91 Pr.upf
CELL_PARAMETERS angstrom
2.219 -7.382 0.000
2.219 7.382 0.000
0.000 0.000 11.618
ATOMIC_POSITIONS angstrom
Pb 2.219 4.206 8.714
Pb 2.219 -4.206 2.905
Te 2.219 2.175 5.059
Te 2.219 -6.038 8.714
Te 2.219 -2.175 6.559
Te 2.219 6.038 2.905
Te 2.219 2.175 0.750
Te 2.219 -2.175 10.868
Zn 2.219 -0.383 8.714
Zn 2.219 0.383 2.905
Pr 0.000 0.000 5.809
Pr 0.000 0.000 0.000